TaZnIr2 (PBEsol, relaxed); DOS(E_F) = 0.274 states/eV/atom; theoretical density = 17.87 g/cm3; E_tot = -8.995 eV per atom; magnetization = 0.00 μB per atom; SG = I4/mmm; DFT formation energy = -549.9 meV per atom
1.0
4.0652 0.0000 0.0000
-2.0326 4.0872 -0.0015
0.0000 2.0230 3.5261
Ir Ta Zn
2 1 1
Direct
0.2500 0.5000 0.2500
0.7500 0.5000 0.7500
0.0000 0.0000 0.0000
0.5000 0.0000 0.5000

=====

TcB2 (PBEsol, relaxed); DOS(E_F) = 0.251 states/eV/atom; theoretical density = 7.50 g/cm3; E_tot = -8.934 eV per atom; magnetization = 0.00 μB per atom; SG = P6_3/mmc; DFT formation energy = -501.1 meV per atom
1.0
2.8740 0.0000 0.0000
-1.4370 2.4890 0.0000
0.0000 0.0000 7.4097
B Tc
4 2
Direct
0.3333 0.6667 0.5487
0.6667 0.3333 0.0487
0.6667 0.3333 0.4513
0.3333 0.6667 0.9513
0.6667 0.3333 0.7500
0.3333 0.6667 0.2500

=====

LiSbPb2 (PBEsol, relaxed); DOS(E_F) = 0.402 states/eV/atom; theoretical density = 8.52 g/cm3; E_tot = -3.742 eV per atom; magnetization = 0.00 μB per atom; SG = Cm
1.0
-1.3823 3.1427 -0.0666
-0.2846 -2.1102 -5.1372
-5.0041 -2.1500 2.4094
Sb Li Pb
1 1 2
Direct
0.4882 0.9765 0.4679
0.7556 0.5111 0.2705
0.2505 0.5010 0.7436
0.0057 0.0114 0.0180

=====

MnPt2W (PBEsol, relaxed); DOS(E_F) = 0.672 states/eV/atom; offset from the most stable computed form = 58 meV/atom; theoretical density = 18.07 g/cm3; E_tot = -9.565 eV per atom; magnetization = 0.74 μB per atom; SG = Cmmm; DFT formation energy = -191.5 meV per atom
1.0
-2.6805 0.2229 0.4390
-0.8598 -2.3543 -4.0551
0.3533 -3.0055 3.6835
W Pt Mn
1 2 1
Direct
0.5000 0.0000 0.0000
0.0000 0.0000 0.5000
0.0000 0.5000 0.0000
0.5000 0.5000 0.5000

=====

Mg7Al22O40 (PBEsol, relaxed); DOS(E_F) = 0.000 states/eV/atom; theoretical density = 3.58 g/cm3; E_tot = -7.516 eV per atom; magnetization = 0.00 μB per atom; SG = Cm
1.0
5.6871 0.0010 -0.0005
-2.8366 4.9291 0.0005
-2.7687 -1.6883 23.2172
Al O Mg
22 40 7
Direct
0.9028 0.1937 0.0965
0.7893 0.4051 0.7026
0.0104 0.9817 0.9921
0.2975 0.9132 0.7026
0.4061 0.1948 0.0968
0.6034 0.7969 0.4004
0.7029 0.5958 0.2987
0.3971 0.2076 0.6048
0.1837 0.6220 0.8057
0.2044 0.5965 0.2990
0.0996 0.3014 0.8987
0.9930 0.9983 0.5008
0.3570 0.6627 0.0197
0.5025 0.5078 0.5008
0.5555 0.2725 0.8280
0.8355 0.9435 0.7790
0.0422 0.5373 0.5795
0.5973 0.7991 0.8987
0.8041 0.3943 0.1984
0.9020 0.6907 0.0968
0.7025 0.0946 0.2990
0.6455 0.3244 0.9699
0.7246 0.8544 0.0501
0.9859 0.2631 0.2490
0.2024 0.3510 0.5534
0.5007 0.2503 0.7510
0.1992 0.8749 0.5545
0.8669 0.9263 0.3448
0.1973 0.8507 0.0480
0.9977 0.7543 0.7521
0.7036 0.8402 0.5439
0.5074 0.7481 0.2554
0.8885 0.9664 0.8549
0.2885 0.1645 0.9513
0.0980 0.0387 0.1366
0.6795 0.3553 0.5545
0.9855 0.7085 0.2489
0.4090 0.9384 0.8516
0.7868 0.6629 0.9513
0.5916 0.5210 0.6552
0.3904 0.4611 0.8515
0.7895 0.6631 0.4526
0.9912 0.2834 0.7529
0.4695 0.7617 0.7529
0.3375 0.6537 0.4494
0.6190 0.5238 0.1428
0.8966 0.4426 0.3392
0.7957 0.1119 0.4494
0.1957 0.3254 0.0501
0.1342 0.0636 0.6552
0.0635 0.5235 0.1425
0.7062 0.3439 0.0501
0.4185 0.4779 0.3448
0.3103 0.6352 0.9455
0.4161 0.9293 0.3454
0.9132 0.4426 0.8516
0.5404 0.2634 0.2489
0.5844 0.0726 0.6570
0.6190 0.0790 0.1425
0.8122 0.1380 0.9502
0.2979 0.1646 0.4625
0.0900 0.5677 0.6577
0.1538 0.0693 0.2231
0.2534 0.1254 0.3789
0.9543 0.4696 0.4239
0.2958 0.4082 0.7040
0.4535 0.7195 0.1729
0.7499 0.8766 0.6265
0.5014 0.0000 0.5013

=====

PRu2W (PBEsol, relaxed); DOS(E_F) = 0.499 states/eV/atom; theoretical density = 13.08 g/cm3; E_tot = -10.278 eV per atom; magnetization = 0.00 μB per atom; SG = P4/mmm; DFT formation energy = -292.1 meV per atom
1.0
-2.2259 -1.2994 -1.1215
-0.7729 -0.8811 2.5548
-3.6537 5.5582 0.8115
Ru W P
2 1 1
Direct
0.0000 0.0000 0.7117
0.0000 0.0000 0.2883
0.5000 0.5000 0.0000
0.5000 0.5000 0.5000

=====

KLi2AlGe (PBEsol, relaxed); DOS(E_F) = 0.292 states/eV/atom; theoretical density = 1.71 g/cm3; E_tot = -2.394 eV per atom; magnetization = 0.00 μB per atom; SG = P4/mmm; DFT formation energy = 425.3 meV per atom
1.0
-1.7669 -4.6308 0.5125
0.3120 -0.6645 -4.9285
5.5657 -2.0540 0.6293
Ge Al Li K
1 1 2 1
Direct
0.0000 0.0000 0.0000
0.5000 0.5000 0.5000
0.0000 0.5000 0.0000
0.5000 0.0000 0.0000
0.0000 0.0000 0.5000

=====

Mg2Zn (PBEsol, relaxed); DOS(E_F) = 0.392 states/eV/atom; theoretical density = 3.22 g/cm3; E_tot = -1.646 eV per atom; magnetization = 0.00 μB per atom; SG = P-3m1; DFT formation energy = 26.4 meV per atom
1.0
3.1159 0.0000 0.0000
-1.5579 2.6984 0.0000
0.0000 0.0000 6.9974
Mg Zn
2 1
Direct
0.6667 0.3333 0.6871
0.3333 0.6667 0.3129
0.0000 0.0000 0.0000